A relaxed structure of NdTc4P3. Source: Alexandria via LeMat-Bulk, functional GGA-PBE.

Unit cell a=4.071 b=4.071 c=7.928 alpha=90.00 beta=90.00 gamma=90.00
Sites, in units of the cell vectors:
P1 0.000 0.000 0.000
Tc1 0.500 0.000 0.170
Tc2 0.000 0.500 0.830
Nd1 0.000 0.000 0.500
P2 0.500 0.500 0.323
P3 0.500 0.500 0.677
Tc3 0.500 0.000 0.830
Tc4 0.000 0.500 0.170

- Energy of formation from the pure elements: -0.57 eV/atom
- Theoretical density: 7.95 Mg/m³
- Density of states at the Fermi level: 9.47 states/eV/cell
- Symmetry: P4/mmm

=====

A relaxed structure of HfSc2HPt. Source: Alexandria via LeMat-Bulk, functional GGA-PBE.

Unit cell a=4.229 b=4.229 c=4.505 alpha=90.00 beta=90.00 gamma=90.00
Sites, in units of the cell vectors:
Pt1 0.500 0.500 0.500
H1 0.000 0.000 0.000
Sc1 0.000 0.500 0.000
Hf1 0.000 0.000 0.500
Sc2 0.500 0.000 0.000

- Theoretical density: 9.58 Mg/m³
- Density of states at the Fermi level: 6.59 states/eV/cell
- Symmetry: P4/mmm

=====

Looking at uncorrected energy for the records above, in order, we have -8.382, -6.915 eV/atom.